## Er4CoIr2 (PBE-GGA)

Data for Er4CoIr2 after structural relaxation.

Unit cell a=8.2484 b=8.2484 c=8.2484 alpha=33.36 beta=33.36 gamma=33.36
Fractional positions:
Er 0.1247 0.1247 0.1247
Er 0.3753 0.3753 0.3753
Er 0.6247 0.6247 0.6247
Er 0.8753 0.8753 0.8753
Co 0.0000 0.0000 0.0000
Ir 0.2509 0.2509 0.2509
Ir 0.7491 0.7491 0.7491

The value obtained for the density of states at the Fermi level is 3.75 states/eV/f.u. The calculation puts the spin magnetization at 0.0 μB per formula unit. Its space group is R-3m (166). The value obtained for the energy of formation from the pure elements is -0.671 eV per atom.